Entry 1:
An optimized crystal structure of Pm6Nd2SmTm3. Source: the Alexandria database, functional PBE.

POSCAR file:
```
Pm6Nd2SmTm3
1.0
3.135 -5.430 0.000
3.135 5.430 0.000
-2.085 0.000 11.736
Pm Nd Sm Tm
6 2 1 3
Cartesian
0.003 1.808 8.861 Pm
1.044 0.000 2.874 Pm
0.003 -1.808 8.861 Pm
4.181 1.808 2.875 Pm
3.140 0.000 8.863 Pm
4.181 -1.808 2.875 Pm
2.092 1.810 5.868 Nd
2.092 -1.810 5.868 Nd
-1.043 0.000 5.868 Sm
3.135 3.620 0.000 Tm
3.135 0.000 0.000 Tm
3.135 -3.620 0.000 Tm
```

Results
Total magnetic moment: 0.00 μB/f.u.
SG: C2/m (12)
DFT total energy: -4.663 eV per atom
Formation energy: 17.9 meV/atom

---

Entry 2:
An optimized crystal structure of Pm2Nd5SmTm. Source: the Alexandria database, functional PBE.

POSCAR file:
```
Pm2Nd5SmTm
1.0
-4.387 4.387 8.141
4.387 -4.387 8.141
4.387 4.387 -8.141
Pm Nd Sm Tm
4 10 2 2
Cartesian
5.429 1.041 0.000 Pm
1.041 3.346 0.000 Pm
3.346 1.041 8.141 Pm
-1.041 3.346 8.141 Pm
0.000 0.000 0.000 Nd
2.518 1.870 -2.293 Nd
2.518 -1.870 5.848 Nd
2.518 1.870 2.293 Nd
2.518 -1.870 10.434 Nd
0.000 0.000 8.141 Nd
1.870 6.257 -2.293 Nd
1.870 2.518 5.848 Nd
1.870 6.257 2.293 Nd
1.870 2.518 10.434 Nd
0.000 0.000 4.071 Sm
0.000 0.000 12.212 Sm
4.387 0.000 4.071 Tm
0.000 4.387 4.071 Tm
```

Results
Total magnetic moment: 0.00 μB/f.u.
SG: I4/mcm (140)
DFT total energy: -4.445 eV per atom
Formation energy: 280.8 meV/atom

---

Entry 3:
An optimized crystal structure of PmNd3Sm2Tm6. Source: the Alexandria database, functional PBE.

POSCAR file:
```
PmNd3Sm2Tm6
1.0
3.103 -5.374 0.000
3.103 5.374 0.000
-2.063 0.000 11.525
Pm Nd Sm Tm
1 3 2 6
Cartesian
0.000 0.000 0.000 Pm
2.072 3.581 5.762 Nd
2.072 0.000 5.762 Nd
2.072 -3.581 5.762 Nd
3.103 1.791 0.000 Sm
3.103 -1.791 0.000 Sm
1.037 1.792 2.868 Tm
0.005 0.000 8.656 Tm
1.037 -1.792 2.868 Tm
3.108 1.792 8.656 Tm
4.140 0.000 2.869 Tm
3.108 -1.792 8.656 Tm
```

Results
Total magnetic moment: 0.00 μB/f.u.
SG: C2/m (12)
DFT total energy: -4.594 eV per atom
Formation energy: 16.4 meV/atom

---

Entry 4:
An optimized crystal structure of Pm2NdSmTm5. Source: the Alexandria database, functional PBE.

POSCAR file:
```
Pm2NdSmTm5
1.0
-4.344 4.344 7.672
4.344 -4.344 7.672
4.344 4.344 -7.672
Pm Nd Sm Tm
4 2 2 10
Cartesian
5.356 1.011 0.000 Pm
1.011 3.333 0.000 Pm
3.333 1.011 7.672 Pm
-1.011 3.333 7.672 Pm
0.000 0.000 3.836 Nd
0.000 0.000 11.508 Nd
4.344 0.000 3.836 Sm
0.000 4.344 3.836 Sm
0.000 0.000 0.000 Tm
2.525 1.819 -2.097 Tm
2.525 -1.819 5.575 Tm
2.525 1.819 2.097 Tm
2.525 -1.819 9.769 Tm
0.000 0.000 7.672 Tm
1.819 6.163 -2.097 Tm
1.819 2.525 5.575 Tm
1.819 6.163 2.097 Tm
1.819 2.525 9.769 Tm
```

Results
Total magnetic moment: 0.00 μB/f.u.
SG: I4/mcm (140)
DFT total energy: -4.338 eV per atom
Formation energy: 256.2 meV/atom